Entry 1:
A plane-wave DFT calculation with GGA-PBE was carried out for an optimized crystal structure of Sc6Zn3Rh.

Computed properties:
Total magnetization ... 0.0000 μB per atom
VASP energy ... -5.32 eV/atom

Unit cell a=8.2973 b=4.7521 c=10.4063 alpha=90.00 beta=108.45 gamma=90.00
Last column: nearest neighbours and their distance in Å.
Space group P2_1/m (No. 11)
Asymmetric unit:
Sc 0.0313 0.2500 0.4095 [2 per cell]  6 Zn 2.77-3.08
Sc 0.1672 0.7500 0.1699 [2 per cell]  1 Rh 2.74, 5 Zn 2.80-3.00
Sc 0.2604 0.2500 0.0027 [2 per cell]  4 Zn 2.84-3.12, 3 Rh 2.85-2.87
Sc 0.3451 0.7500 0.8219 [2 per cell]  3 Rh 2.72-2.86, 1 Zn 2.91
Sc 0.3741 0.2500 0.3412 [2 per cell]  3 Zn 2.97-3.00, 7 Sc 3.02-3.29
Sc 0.3867 0.2500 0.6341 [2 per cell]  1 Rh 2.68, 3 Zn 2.80-2.89
Zn 0.0204 0.7500 0.8736 [2 per cell]  8 Sc 2.80-3.12, 2 Zn 3.06
Zn 0.0982 0.2500 0.7183 [2 per cell]  8 Sc 2.77-3.10, 3 Zn 3.06-3.08
Zn 0.2708 0.7500 0.4733 [2 per cell]  9 Sc 2.89-3.12, 1 Zn 3.08
Rh 0.4567 0.7500 0.0974 [2 per cell]  8 Sc 2.68-2.87

=====

Entry 2:
A plane-wave DFT calculation with GGA-PBE was carried out for an optimized crystal structure of ScZnRh3.

Computed properties:
Total magnetization ... 0.0000 μB per atom
Energy above the lowest structure with this stoichiometry ... 0.0 meV per atom
VASP energy ... -6.13 eV/atom

Unit cell a=6.3173 b=6.3173 c=4.7669 alpha=90.00 beta=90.00 gamma=120.00
Last column: nearest neighbours and their distance in Å.
Space group P6_3/mmc (No. 194)
Asymmetric unit:
Sc 0.3333 0.6667 0.2500 [2 per cell]  6 Rh 2.82
Zn 0.0000 0.0000 0.0000 [2 per cell]  2 Zn 2.38, 6 Rh 2.45
Rh 0.1959 0.3919 0.7500 [6 per cell]  2 Zn 2.45, 2 Rh 2.60

=====

Entry 3:
A plane-wave DFT calculation with GGA-PBE was carried out for an optimized crystal structure of Sc2ZnRh.

Computed properties:
Total magnetization ... 0.2258 μB per atom
VASP energy ... -5.77 eV/atom

Unit cell a=3.2925 b=3.2925 c=6.8025 alpha=90.00 beta=90.00 gamma=90.00
Last column: nearest neighbours and their distance in Å.
Space group P4mm (No. 99)
Asymmetric unit:
Sc 0.0000 0.0000 0.0000 [1 per cell]  4 Rh 2.77, 1 Zn 2.85
Sc 0.5000 0.5000 0.3378 [1 per cell]  4 Zn 2.86, 1 Rh 2.99
Zn 0.0000 0.0000 0.5807 [1 per cell]  4 Rh 2.69, 5 Sc 2.85-2.86
Rh 0.5000 0.5000 0.7780 [1 per cell]  4 Zn 2.69, 5 Sc 2.77-2.99

=====

Entry 4:
A plane-wave DFT calculation with GGA-PBE was carried out for an optimized crystal structure of Sc2ZnRh.

Computed properties:
Total magnetization ... 0.0000 μB per atom
VASP energy ... -5.37 eV/atom

Unit cell a=3.0791 b=3.0791 c=28.1081 alpha=90.00 beta=90.00 gamma=120.00
Last column: nearest neighbours and their distance in Å.
Space group R-3m (No. 166, hexagonal axes)
Asymmetric unit:
Sc 0.0000 0.0000 0.0852 [6 per cell]  1 Rh 2.39
Zn 0.0000 0.0000 0.5000 [3 per cell]  6 Sc 2.90, 6 Zn 3.08
Rh 0.0000 0.0000 0.0000 [3 per cell]  2 Sc 2.39

=====

> Which value of total magnetization does entry 4 give?

0.0000 μB per atom

=====

> What is the formula in the first record?

Sc6Zn3Rh

=====

> Which value of VASP energy does entry 3 give?

-5.77 eV/atom